1.
DFT (PBE) results for an optimized crystal structure of LaDyCd6.

It has space group Pmm2 (No. 25), with a = 5.152 Å, b = 7.305 Å, c = 5.152 Å, α = 90.00°, β = 90.00° and γ = 90.00°. The inequivalent atoms are La at (0.000, 0.000, 0.000), Dy at (0.500, 0.500, 0.492), Cd at (0.000, 0.259, 0.501), Cd at (0.000, 0.500, 0.000), Cd at (0.500, 0.000, 0.494) and Cd at (0.500, 0.259, 0.992).

Its total energy is -2.168 eV per atom. The value obtained for the energy above the most stable polymorph in this dataset is 0 meV per atom. The density is 8.36 g cm⁻³. The value obtained for the energy of formation from the pure elements is -0.3060 eV per atom.

2.
DFT (PBE) results for an optimized crystal structure of ScCuSbPd.

It has space group F-43m (No. 216), with a = 6.557 Å, b = 6.557 Å, c = 6.557 Å, α = 90.00°, β = 90.00° and γ = 90.00°. The inequivalent atoms are Sc at (0.000, 0.000, 0.000), Cu at (0.250, 0.250, 0.750), Sb at (0.000, 0.000, 0.500) and Pd at (0.250, 0.250, 0.250).

Its total energy is -5.377 eV per atom. The value obtained for the energy above the most stable polymorph in this dataset is 0 meV per atom. The density is 7.93 g cm⁻³.